VASP calculation (PBE) on Al2Mo after structural relaxation.

Cell lengths 9.964, 2.857, 6.870 Å; angles 90.00, 106.85, 90.00 degrees
Space group C2/m (No. 12)
Symmetry-distinct sites (fractional):
Al 0.038 0.000 0.314
Al 0.146 0.500 0.036
Mo 0.185 0.500 0.652

Results
The calculation puts the formation enthalpy at 0 K at -0.143 eV per atom.


VASP calculation (PBE) on Sr2SbIrO6 after structural relaxation.

Cell lengths 5.728, 5.711, 9.872 Å; angles 90.00, 125.21, 90.00 degrees
Space group P2_1/c (No. 14)
Symmetry-distinct sites (fractional):
Sr 0.241 0.039 0.249
Sb 0.500 0.000 0.000
Ir 0.000 0.000 0.500
O 0.174 0.207 0.959
O 0.253 0.714 0.959
O 0.332 0.013 0.754

Results
For the uncorrected formation energy, the calculation gives -1.8246 eV/atom.


VASP calculation (PBE) on KSbW2 after structural relaxation.

Cell lengths 3.501, 4.985, 10.221 Å; angles 90.00, 90.00, 90.00 degrees
Space group Cmm2 (No. 35)
Symmetry-distinct sites (fractional):
K 0.000 0.000 0.000
Sb 0.000 0.500 0.706
W 0.000 0.000 0.482
W 0.000 0.500 0.299

Results
For the uncorrected formation energy, the calculation gives 0.7009 eV/atom.


VASP calculation (PBE) on LiMgCo2 after structural relaxation.

Cell lengths 3.027, 3.998, 4.246 Å; angles 90.00, 90.00, 90.00 degrees
Space group Pmmm (No. 47)
Symmetry-distinct sites (fractional):
Li 0.000 0.000 0.000
Mg 0.500 0.500 0.000
Co 0.000 0.500 0.500
Co 0.500 0.000 0.500

Results
The calculation puts the formation enthalpy at 0 K at 0.175 eV per atom.


VASP calculation (PBE) on BaRh3Cl after structural relaxation.

Cell lengths 5.236, 5.236, 5.236 Å; angles 90.00, 90.00, 90.00 degrees
Space group Pm-3m (No. 221)
Symmetry-distinct sites (fractional):
Ba 0.000 0.000 0.000
Rh 0.000 0.000 0.500
Cl 0.500 0.500 0.500

Results
The energy above the most stable polymorph in this dataset comes out at 1.442 eV per atom. For the uncorrected formation energy, the calculation gives 1.7530 eV/atom.


VASP calculation (PBE) on Zn8Ir3 after structural relaxation.

Cell lengths 9.503, 3.158, 10.715 Å; angles 90.00, 104.25, 90.00 degrees
Space group C2/m (No. 12)
Symmetry-distinct sites (fractional):
Zn 0.045 0.000 0.321
Zn 0.132 0.000 0.958
Zn 0.180 0.500 0.776
Zn 0.227 0.000 0.591
Ir 0.000 0.500 0.500
Ir 0.095 0.500 0.146

Results
The calculation puts the formation enthalpy at 0 K at -0.180 eV per atom.


VASP calculation (PBE) on ReHg3Ru after structural relaxation.

Cell lengths 5.198, 5.198, 5.198 Å; angles 90.00, 90.00, 90.00 degrees
Space group Pm-3m (No. 221)
Symmetry-distinct sites (fractional):
Re 0.000 0.000 0.000
Hg 0.000 0.500 0.500
Ru 0.500 0.500 0.500

Results
The energy above the most stable polymorph in this dataset comes out at 0.000 eV per atom. The calculation puts the formation enthalpy at 0 K at 1.711 eV per atom.


VASP calculation (PBE) on Ba5Sr2Ag after structural relaxation.

Cell lengths 10.435, 19.360, 4.278 Å; angles 90.00, 90.00, 90.00 degrees
Space group Pbam (No. 55)
Symmetry-distinct sites (fractional):
Ba 0.000 0.000 0.000
Ba 0.004 0.224 0.000
Ba 0.190 0.395 0.500
Sr 0.187 0.604 0.500
Ag 0.000 0.500 0.000

Results
The calculation puts the formation enthalpy at 0 K at -0.027 eV per atom.


VASP calculation (PBE) on Sm2DyPaCo2 after structural relaxation.

Cell lengths 6.852, 12.758, 6.760 Å; angles 90.00, 90.00, 90.00 degrees
Space group Ibam (No. 72)
Symmetry-distinct sites (fractional):
Sm 0.211 0.200 0.000
Dy 0.000 0.500 0.250
Pa 0.000 0.000 0.250
Co 0.208 0.087 0.500

Results
The calculation puts the formation enthalpy at 0 K at -0.197 eV per atom.


VASP calculation (PBE) on Tb5Sm4Tm3 after structural relaxation.

Cell lengths 16.113, 5.894, 9.315 Å; angles 90.00, 116.68, 90.00 degrees
Space group C2/m (No. 12)
Symmetry-distinct sites (fractional):
Tb 0.000 0.000 0.000
Tb 0.073 0.500 0.703
Tb 0.172 0.500 0.385
Sm 0.083 0.000 0.443
Sm 0.216 0.000 0.880
Tm 0.000 0.500 0.000
Tm 0.211 0.000 0.233

Results
The calculation puts the formation enthalpy at 0 K at 0.231 eV per atom.


VASP calculation (PBE) on RbYNb2 after structural relaxation.

Cell lengths 7.554, 7.554, 7.554 Å; angles 90.00, 90.00, 90.00 degrees
Space group Fm-3m (No. 225)
Symmetry-distinct sites (fractional):
Rb 0.000 0.000 0.000
Y 0.000 0.000 0.500
Nb 0.250 0.250 0.250

Results
The energy above the most stable polymorph in this dataset comes out at 0.116 eV per atom. The calculation puts the formation enthalpy at 0 K at 1.638 eV per atom.


VASP calculation (PBE) on TiNi2SBr after structural relaxation.

Cell lengths 4.007, 4.007, 6.263 Å; angles 90.00, 90.00, 90.00 degrees
Space group P4/mmm (No. 123)
Symmetry-distinct sites (fractional):
Ti 0.000 0.000 0.000
Ni 0.000 0.500 0.500
S 0.500 0.500 0.500
Br 0.500 0.500 0.000

Results
For the uncorrected formation energy, the calculation gives 0.3409 eV/atom.


no.,uncorrected energy (eV per atom),size of the total moment (μB/f.u.)
1,-6.248,0.000
2,-6.434,0.000
3,-7.081,0.000
4,-4.256,2.799
5,-3.412,2.425
6,-3.523,0.000
7,-2.814,5.907
8,-2.005,0.000
9,-6.488,0.000
10,-4.389,0.424
11,-5.255,4.096
12,-4.711,0.222